1.
First-principles (PBE) data for an optimized crystal structure of LiSn5Pd3, as listed in Alexandria via LeMat-Bulk.

Calculated values
Its symmetry is C2/m, No. 12. As for the energy of formation: -0.281 eV/atom.

Cell and atoms, written as POSCAR:
```
LiSn5Pd3
1.0
7.3141 -0.2808 0.8275
1.7322 7.1115 0.8275
3.6673 2.7692 8.9044
Li Sn Pd
2 10 6
direct
0.0786 0.0786 0.6948
0.9214 0.9214 0.3052
0.9540 0.4092 0.3979
0.2854 0.7146 0.0000
0.7670 0.7670 0.0041
0.4368 0.4368 0.3531
0.5632 0.5632 0.6469
0.2330 0.2330 0.9959
0.4092 0.9540 0.3979
0.7146 0.2854 0.0000
0.0460 0.5908 0.6021
0.5908 0.0460 0.6021
0.6888 0.6888 0.8046
0.6859 0.6859 0.3104
0.0000 0.0000 0.0000
0.0000 0.0000 0.5000
0.3112 0.3112 0.1954
0.3141 0.3141 0.6896
```



2.
First-principles (PBE) data for an optimized crystal structure of BaZrAg2, as listed in Alexandria via LeMat-Bulk.

Calculated values
Its distance to the lowest polymorph of the same formula is 373 meV/atom. Its symmetry is I-4m2, No. 119. As for the energy of formation: 0.383 eV/atom.

Cell and atoms, written as POSCAR:
```
BaZrAg2
1.0
-4.7159 -0.3483 -3.7482
-0.9854 -5.3570 -2.5965
0.9821 2.0194 5.6007
Ag Ba Zr
2 1 1
direct
0.0000 0.0000 0.0000
0.2500 0.7500 0.5000
0.5000 0.5000 0.0000
0.7500 0.2500 0.5000
```



3.
First-principles (PBE) data for an optimized crystal structure of K2PF, as listed in Alexandria via LeMat-Bulk.

Calculated values
Its distance to the lowest polymorph of the same formula is 0 meV/atom. Its symmetry is I-42d, No. 122. As for the uncorrected formation energy: -0.99 eV/atom.

Cell and atoms, written as POSCAR:
```
K2PF
1.0
7.6783 0.0000 0.0000
0.0000 7.6783 0.0000
3.8391 3.8391 4.2247
P K F
2 4 2
direct
0.0000 0.0000 0.0000
0.7500 0.2500 0.5000
0.5416 0.1250 0.2500
0.2084 0.6250 0.2500
0.3750 0.4584 0.7500
0.8750 0.7916 0.7500
0.5000 0.5000 0.0000
0.2500 0.7500 0.5000
```



4.
First-principles (PBE) data for an optimized crystal structure of BaAcSbCl, as listed in Alexandria via LeMat-Bulk.

Calculated values
Its distance to the lowest polymorph of the same formula is 0 meV/atom. Its symmetry is P4/nmm, No. 129. As for the uncorrected formation energy: -1.40 eV/atom.

Cell and atoms, written as POSCAR:
```
BaAcSbCl
1.0
-5.2595 0.2334 -0.3493
-0.3914 -1.1309 5.1387
0.3232 10.9183 2.4275
Ba Ac Sb Cl
2 2 2 2
direct
0.0000 0.5000 0.8438
0.5000 0.0000 0.1562
0.0000 0.0000 0.5000
0.5000 0.5000 0.5000
0.5000 0.0000 0.6885
0.0000 0.5000 0.3115
0.5000 0.5000 0.0000
0.0000 0.0000 0.0000
```



5.
First-principles (PBE) data for an optimized crystal structure of NaLiPb2Cl6, as listed in Alexandria via LeMat-Bulk.

Calculated values
Its symmetry is R3, No. 146. As for the uncorrected formation energy: -1.41 eV/atom.

Cell and atoms, written as POSCAR:
```
NaLiPb2Cl6
1.0
-2.2724 -4.2772 -5.2336
4.0236 -0.9814 -5.8045
3.4042 -6.6583 -0.8958
Na Li Pb Cl
1 1 2 6
direct
0.8170 0.8170 0.5491
0.3183 0.3184 0.0448
0.5184 0.5184 0.4448
0.0165 0.0165 0.9504
0.5882 0.2013 0.2480
0.2012 0.9626 0.2480
0.9626 0.5882 0.2480
0.4414 0.6880 0.7606
0.6880 0.1099 0.7607
0.1101 0.4414 0.7607
```



6.
First-principles (PBE) data for an optimized crystal structure of Ho2Er8Hg, as listed in Alexandria via LeMat-Bulk.

Calculated values
Its symmetry is C2/m, No. 12. As for the energy of formation: -0.050 eV/atom.

Cell and atoms, written as POSCAR:
```
Ho2Er8Hg
1.0
5.4848 0.0000 0.0000
0.0000 6.1677 1.3019
-2.7424 -1.0733 9.5149
Ho Er Hg
2 8 1
direct
0.7563 0.3316 0.5127
0.2437 0.6684 0.4873
0.4222 0.6031 0.8444
0.6591 0.8749 0.3182
0.8446 0.7993 0.6891
0.9556 0.2664 0.9113
0.1554 0.2007 0.3109
0.3409 0.1251 0.6818
0.5778 0.3969 0.1556
0.0444 0.7336 0.0887
0.5000 0.0000 0.0000
```



| no. | final energy (eV per atom) | density of states at the Fermi level (states/eV/cell) |
| --- | --- | --- |
| 1 | -4.448 | 8.5 |
| 2 | -3.661 | 3.6 |
| 3 | -3.361 | 1.6 |
| 4 | -4.400 | 3.1 |
| 5 | -3.581 | 0.0 |
| 6 | -4.229 | 15.4 |